A plane-wave DFT calculation with GGA-PBE was carried out for CoMoPb2 after structural relaxation.

Cell lengths 4.706, 4.709, 3.398 Å; angles 90.00, 90.00, 90.00 degrees
Positions (direct):
Pb 0.000 0.000 0.000
Mo 0.000 0.500 0.500
Pb 0.500 0.500 0.000
Co 0.500 0.000 0.500

## Properties
- space group = P4/mmm (123)
- ΔE to the lowest computed polymorph (kJ/mol of atoms) = 35.9

A plane-wave DFT calculation with GGA-PBE was carried out for Co2MoPb after structural relaxation.

Cell lengths 4.244, 4.244, 3.372 Å; angles 90.00, 90.00, 90.00 degrees
Positions (direct):
Co 0.500 0.500 0.000
Mo 0.500 0.000 0.500
Pb 0.000 0.500 0.500
Co 0.000 0.000 0.000

## Properties
- space group = P4/mmm (123)

A plane-wave DFT calculation with GGA-PBE was carried out for CoMoPb after structural relaxation.

Cell lengths 4.448, 4.448, 2.946 Å; angles 90.00, 90.00, 120.00 degrees
Positions (direct):
Pb 0.333 0.667 0.832
Mo 0.667 0.333 0.333
Co 0.000 0.000 0.836

## Properties
- space group = P3m1 (156)
- ΔE to the lowest computed polymorph (kJ/mol of atoms) = 18.6

A plane-wave DFT calculation with GGA-PBE was carried out for CoMoPb2 after structural relaxation.

Cell lengths 4.744, 4.744, 5.796 Å; angles 75.83, 75.83, 38.31 degrees
Positions (direct):
Co 0.750 0.750 0.750
Pb 0.488 0.488 0.511
Mo 0.250 0.250 0.250
Pb 0.012 0.012 0.989

## Properties
- space group = C2/m (12)
- ΔE to the lowest computed polymorph (kJ/mol of atoms) = 44.0

Raw total energy (computed, eV/atom): -5.61, -6.68, -6.50, -5.52
E_form (computed, eV per atom): 0.7330, 0.5084, 0.7114, 0.8177